[1]
Material: MnNiTe2
Method: DFT, SCAN
State: single point on PBEsol structure

Unit cell a=4.8036 b=4.8036 c=4.8036 alpha=60.00 beta=60.00 gamma=60.00
Closest atoms and distances in Å follow each position.
Fractional coordinates of all 4 atoms:
Te (0.7500, 0.7500, 0.7500)  4 Te 2.94, 4 Mn 2.94
Te (0.0000, 0.0000, 0.0000)  4 Te 2.94, 4 Ni 2.94
Mn (0.5000, 0.5000, 0.5000)  4 Te 2.94, 4 Ni 2.94
Ni (0.2500, 0.2500, 0.2500)  4 Mn 2.94, 4 Te 2.94

Calculated values
As for the space-group type: F-43m. As for the magnetization: 1.1190 μB per atom. The formation energy without anion corrections is 522 meV/atom.

***

[2]
Material: TiMn2CoSb
Method: DFT, SCAN
State: single point on PBEsol structure

Unit cell a=4.4278 b=4.4278 c=4.5651 alpha=90.00 beta=90.00 gamma=90.00
Closest atoms and distances in Å follow each position.
Fractional coordinates of all 5 atoms:
Ti (0.5000, 0.5000, 0.5000)  4 Sb 3.13, 8 Mn 3.18
Mn (0.0000, 0.5000, 0.0000)  2 Co 2.21
Mn (0.5000, 0.0000, 0.0000)  2 Co 2.21
Co (0.0000, 0.0000, 0.0000)  4 Mn 2.21, 2 Sb 2.28
Sb (0.0000, 0.0000, 0.5000)  2 Co 2.28

Calculated values
As for the space-group type: P4/mmm. As for the magnetization: 1.3922 μB per atom. The formation energy without anion corrections is 360 meV/atom.

***

[3]
Material: YCd2In
Method: DFT, SCAN
State: single point on PBEsol structure

Unit cell a=3.3183 b=3.3183 c=10.4094 alpha=80.83 beta=80.83 gamma=60.00
Closest atoms and distances in Å follow each position.
Fractional coordinates of all 4 atoms:
Y (0.0000, 0.0000, 0.0000)  6 Cd 3.24, 6 Y 3.32
Cd (0.7517, 0.7517, 0.7450)  3 In 3.16, 3 Y 3.24, 6 Cd 3.32
Cd (0.2483, 0.2483, 0.2550)  3 In 3.16, 3 Y 3.24, 6 Cd 3.32
In (0.5000, 0.5000, 0.5000)  6 Cd 3.16, 6 In 3.32

Calculated values
As for the space-group type: R-3m. As for the magnetization: 0.0000 μB per atom. The value obtained for the formation energy is -47 meV/atom.

***

[4]
Material: NiAg5
Method: DFT, SCAN
State: single point on PBEsol structure

Unit cell a=4.6481 b=5.2062 c=5.2062 alpha=120.00 beta=90.00 gamma=90.00
Closest atoms and distances in Å follow each position.
Fractional coordinates of all 6 atoms:
Ag (0.5000, 0.5000, 0.5000)  8 Ag 2.60-2.77
Ag (0.0000, 0.6667, 0.3333)  9 Ag 2.77-3.01, 3 Ni 3.01
Ag (0.5000, 0.0000, 0.5000)  8 Ag 2.60-2.77
Ag (0.5000, 0.5000, 0.0000)  8 Ag 2.60-2.77
Ag (0.0000, 0.3333, 0.6667)  9 Ag 2.77-3.01, 3 Ni 3.01
Ni (0.0000, 0.0000, 0.0000)  6 Ag 3.01

Calculated values
As for the space-group type: P6/mmm. As for the magnetization: 0.1428 μB per atom. The value obtained for the formation energy is 537 meV/atom. The calculation puts the excess energy over the best structure of this formula in the dataset at 0.3772 eV/atom.